Material: V2Os5Ru2
Method: DFT, PBE
State: relaxed

The space group is C2/m (No. 12) and the conventional cell measures 8.395, 4.106 and 7.670 Å, with angles of 90.00, 98.33 and 90.00 degrees. The distinct sites, in fractional coordinates, are V at (0.178, 0.000, 0.393), Os at (0.000, 0.500, 0.500), Os at (0.058, 0.500, 0.167), Os at (0.124, 0.000, 0.726) and Ru at (0.237, 0.000, 0.082).

Its density is 15936 kg/m3. The formation energy is 159 meV/atom. As for the total DFT energy (no corrections): -183.01 eV/cell.

Material: VOsRu
Method: DFT, PBE
State: relaxed

The space group is P6_3/mmc (No. 194) and the conventional cell measures 4.2397, 4.2397 and 5.3512 Å, with angles of 90.00, 90.00 and 120.00 degrees. The distinct sites, in fractional coordinates, are V at (0.3333, 0.6667, 0.2500), Os at (0.0000, 0.0000, 0.0000) and Ru at (0.3333, 0.6667, 0.7500).

Its density is 13642 kg/m3. The formation energy is -108 meV/atom. As for the total DFT energy (no corrections): -59.90 eV/cell.

Material: V4OsRu5
Method: DFT, PBE
State: relaxed

The space group is C2/m (No. 12) and the conventional cell measures 13.819, 4.052 and 5.300 Å, with angles of 90.00, 111.30 and 90.00 degrees. The distinct sites, in fractional coordinates, are V at (0.086, 0.000, 0.343), V at (0.196, 0.500, 0.134), Os at (0.000, 0.500, 0.000), Ru at (0.000, 0.500, 0.500), Ru at (0.115, 0.000, 0.853) and Ru at (0.207, 0.500, 0.625).

Its density is 10802 kg/m3. The formation energy is -219 meV/atom. As for the total DFT energy (no corrections): -192.55 eV/cell.

Material: VOsRu3
Method: DFT, PBE
State: relaxed

The space group is Pm-3m (No. 221) and the conventional cell measures 4.354, 4.354 and 4.354 Å, with angles of 90.00, 90.00 and 90.00 degrees. The distinct sites, in fractional coordinates, are V at (0.000, 0.000, 0.000), Os at (0.500, 0.500, 0.500) and Ru at (0.000, 0.000, 0.500).

Its density is 10953 kg/m3. The formation energy is 1521 meV/atom. As for the total DFT energy (no corrections): -40.57 eV/cell.